# LiInP2 PBE optimized geometry
data_LiInP2
_space_group_name_H-M_alt 'C 1 2/m 1'
_space_group_IT_number 12
_space_group_name_Hall '-C 2y'
_cell_length_a 8.8719
_cell_length_b 3.2642
_cell_length_c 5.7151
_cell_angle_alpha 90.00
_cell_angle_beta 98.98
_cell_angle_gamma 90.00
loop_
_atom_site_label
_atom_site_fract_x
_atom_site_fract_y
_atom_site_fract_z
Li1 0.0000 0.0000 0.0000
In1 0.0000 0.5000 0.5000
P1 0.2412 0.5000 0.1320
# - Energy: -0.295 Ry/atom
# - Density of states at the Fermi level: 0.98 states/eV/f.u.